# 1
The following is a DFT calculation (GGA-PBEsol) of LaTa2Cd after structural relaxation.

Properties
Formation enthalpy at 0 K ... 0.466 eV/atom
Mass density ... 12.4 Mg/m³
N(E_F) ... 3.5 states/eV/cell
M_tot ... 0.00 μB per cell
Final energy ... -29.781 eV/f.u.

Cell lengths 2.8857, 2.8857, 9.8948 Å; angles 90.00, 90.00, 90.00 degrees
With the nearest neighbours (Å) after each atom.
Space group P4/mmm (No. 123)
Asymmetric unit:
La  0.0000  0.0000  0.0000 (multiplicity 1)  4 La 2.89
Ta  0.5000  0.5000  0.2715 (multiplicity 2)  4 Ta 2.89, 4 Cd 3.05
Cd  0.0000  0.0000  0.5000 (multiplicity 1)  4 Cd 2.89, 8 Ta 3.05



# 2
The following is a DFT calculation (GGA-PBEsol) of LaTaCd after structural relaxation.

Properties
Formation enthalpy at 0 K ... 0.436 eV/atom
Mass density ... 10.4 Mg/m³
N(E_F) ... 3.4 states/eV/cell
M_tot ... 0.00 μB per cell
Final energy ... -17.785 eV/f.u.
Energy above the lowest structure with this stoichiometry ... 0.000 eV/atom

Cell lengths 5.1456, 5.1456, 3.0139 Å; angles 90.00, 90.00, 120.00 degrees
With the nearest neighbours (Å) after each atom.
Space group P-6m2 (No. 187)
Asymmetric unit:
La  0.0000  0.0000  0.0000 (multiplicity 1)  2 La 3.01, 6 Cd 3.33, 6 Ta 3.33
Ta  0.3333  0.6667  0.5000 (multiplicity 1)  3 Cd 2.97, 2 Ta 3.01
Cd  0.6667  0.3333  0.5000 (multiplicity 1)  3 Ta 2.97, 2 Cd 3.01



# 3
The following is a DFT calculation (GGA-PBEsol) of LaCd2Tc after structural relaxation.

Properties
Formation enthalpy at 0 K ... 0.359 eV/atom
Mass density ... 9.4 Mg/m³
N(E_F) ... 10.6 states/eV/cell
M_tot ... 0.00 μB per cell
Final energy ... -17.571 eV/f.u.
Energy above the lowest structure with this stoichiometry ... 0.133 eV/atom

Cell lengths 2.9761, 2.9761, 31.7819 Å; angles 90.00, 90.00, 120.00 degrees
With the nearest neighbours (Å) after each atom.
Space group R-3m (No. 166, hexagonal axes)
Asymmetric unit:
La  0.0000  0.0000  0.0000 (multiplicity 3)  6 La 2.98
Cd  0.0000  0.0000  0.2391 (multiplicity 6)  3 Tc 2.87, 6 Cd 2.98
Tc  0.0000  0.0000  0.5000 (multiplicity 3)  6 Cd 2.87, 6 Tc 2.98



# 4
The following is a DFT calculation (GGA-PBEsol) of LaCd2Tc after structural relaxation.

Properties
Formation enthalpy at 0 K ... 0.226 eV/atom
Mass density ... 8.8 Mg/m³
N(E_F) ... 3.3 states/eV/cell
M_tot ... 0.00 μB per cell
Final energy ... -18.104 eV/f.u.
Energy above the lowest structure with this stoichiometry ... 0.000 eV/atom

Cell lengths 3.4295, 3.4295, 7.4326 Å; angles 90.00, 90.00, 90.00 degrees
With the nearest neighbours (Å) after each atom.
Space group P4mm (No. 99)
Asymmetric unit:
La  0.0000  0.0000  0.0000 (multiplicity 1)  4 Tc 3.00, 1 Cd 3.19
Cd  0.0000  0.0000  0.5715 (multiplicity 1)  4 Tc 2.81, 4 Cd 2.95
Cd  0.5000  0.5000  0.3445 (multiplicity 1)  4 Cd 2.95, 1 Tc 3.11
Tc  0.5000  0.5000  0.7631 (multiplicity 1)  5 Cd 2.81-3.11, 4 La 3.00



# 5
The following is a DFT calculation (GGA-PBEsol) of LaCd2Tc after structural relaxation.

Properties
Formation enthalpy at 0 K ... 0.272 eV/atom
Mass density ... 9.2 Mg/m³
N(E_F) ... 3.8 states/eV/cell
M_tot ... 1.33 μB per cell
Final energy ... -17.919 eV/f.u.
Energy above the lowest structure with this stoichiometry ... 0.046 eV/atom

Cell lengths 3.1019, 3.1019, 8.6595 Å; angles 90.00, 90.00, 90.00 degrees
With the nearest neighbours (Å) after each atom.
Space group P4/mmm (No. 123)
Asymmetric unit:
La  0.0000  0.0000  0.0000 (multiplicity 1)  4 La 3.10, 8 Cd 3.35
Cd  0.5000  0.5000  0.2931 (multiplicity 2)  4 Tc 2.83, 4 Cd 3.10
Tc  0.0000  0.0000  0.5000 (multiplicity 1)  8 Cd 2.83, 4 Tc 3.10



# 6
The following is a DFT calculation (GGA-PBEsol) of LaCd2Tc after structural relaxation.

Properties
Formation enthalpy at 0 K ... 0.345 eV/atom
Mass density ... 9.0 Mg/m³
N(E_F) ... 12.7 states/eV/cell
M_tot ... 0.00 μB per cell
Final energy ... -17.628 eV/f.u.
Energy above the lowest structure with this stoichiometry ... 0.119 eV/atom

Cell lengths 6.9791, 6.9791, 6.9791 Å; angles 90.00, 90.00, 90.00 degrees
With the nearest neighbours (Å) after each atom.
Space group F-43m (No. 216)
Asymmetric unit:
La  0.0000  0.0000  0.0000 (multiplicity 4)  4 Cd 3.02, 4 Tc 3.02
Cd  0.0000  0.0000  0.5000 (multiplicity 4)  4 Tc 3.02, 4 Cd 3.02
Cd  0.2500  0.2500  0.2500 (multiplicity 4)  4 Cd 3.02, 4 La 3.02
Tc  0.2500  0.2500  0.7500 (multiplicity 4)  4 La 3.02, 4 Cd 3.02



# 7
The following is a DFT calculation (GGA-PBEsol) of LaCdTe after structural relaxation.

Properties
Mass density ... 6.2 Mg/m³
N(E_F) ... 12.1 states/eV/cell
M_tot ... 0.00 μB per cell
Final energy ... -11.734 eV/f.u.

Cell lengths 7.3951, 7.3951, 7.3951 Å; angles 90.00, 90.00, 90.00 degrees
With the nearest neighbours (Å) after each atom.
Space group F-43m (No. 216)
Asymmetric unit:
La  0.0000  0.0000  0.0000 (multiplicity 4)  4 Cd 3.20, 4 Te 3.20
Cd  0.2500  0.2500  0.2500 (multiplicity 4)  4 La 3.20
Te  0.2500  0.2500  0.7500 (multiplicity 4)  4 La 3.20



# 8
The following is a DFT calculation (GGA-PBEsol) of La2CdTe after structural relaxation.

Properties
Mass density ... 7.5 Mg/m³
N(E_F) ... 7.9 states/eV/cell
M_tot ... 0.00 μB per cell
Final energy ... -18.804 eV/f.u.
Energy above the lowest structure with this stoichiometry ... 0.000 eV/atom

Cell lengths 7.0507, 8.4168, 3.8444 Å; angles 90.00, 90.00, 90.00 degrees
With the nearest neighbours (Å) after each atom.
Space group Cmmm (No. 65)
Asymmetric unit:
La  0.2500  0.2500  0.0000 (multiplicity 4)  4 Cd 3.35, 4 Te 3.35, 2 La 3.53
Cd  0.0000  0.0000  0.5000 (multiplicity 2)  8 La 3.35, 2 Te 3.53
Te  0.0000  0.5000  0.5000 (multiplicity 2)  8 La 3.35, 2 Cd 3.53